This record from the Alexandria database describes a geometry-optimized LaPmSmTl structure. The functional is GGA-PBE.

Computed properties:
Formation energy ... -69 meV/atom
V ... 31.8 Å³ per atom
Offset from the most stable computed form ... 0.000 eV/atom
Crystal system ... cubic
ρ ... 8.3 g/cm3

a b c (Å): 5.642 5.642 5.642
angles (deg): 60.00 60.00 60.00
Site moments in Bohr magnetons follow the coordinates.
Positions (direct):
Pm1 0.500 0.500 0.500  0.37
La1 0.750 0.750 0.750  0.21
Tl1 0.000 0.000 0.000  0.00
Sm1 0.250 0.250 0.250  0.23

This record from the Alexandria database describes a geometry-optimized La2Pm2SmTm structure. The functional is GGA-PBE.

Computed properties:
Formation energy ... 54 meV/atom
V ... 34.2 Å³ per atom
Crystal system ... orthorhombic
ρ ... 7.2 g/cm3

a b c (Å): 5.769 7.132 9.974
angles (deg): 90.00 90.00 90.00
Positions (direct):
Pm1 0.500 0.258 0.332
Pm2 0.000 0.257 0.835
Pm3 0.500 0.758 0.668
Pm4 0.000 0.757 0.165
La1 0.500 0.508 0.000
La2 0.000 0.258 0.179
La3 0.000 0.758 0.821
La4 0.500 0.008 0.000
Tm1 0.000 0.008 0.500
Tm2 0.000 0.508 0.500
Sm1 0.500 0.258 0.656
Sm2 0.500 0.758 0.344

This record from the Alexandria database describes a geometry-optimized LaPm6SmTm2 structure. The functional is GGA-PBE.

Computed properties:
Formation energy ... 114 meV/atom
V ... 34.2 Å³ per atom
Crystal system ... monoclinic
ρ ... 7.3 g/cm3

a b c (Å): 9.734 8.912 8.912
angles (deg): 116.86 93.95 93.95
Positions (direct):
Sm1 0.750 0.033 0.967
Sm2 0.250 0.967 0.033
Pm1 0.444 0.241 0.892
Pm2 0.680 0.019 0.564
Pm3 0.180 0.564 0.019
Pm4 0.556 0.759 0.108
Pm5 0.380 0.513 0.296
Pm6 0.944 0.892 0.241
Pm7 0.620 0.487 0.704
Pm8 0.320 0.981 0.436
Pm9 0.820 0.436 0.981
Pm10 0.056 0.108 0.759
Pm11 0.880 0.296 0.513
Pm12 0.120 0.704 0.487
Tm1 0.451 0.803 0.707
Tm2 0.549 0.197 0.293
Tm3 0.049 0.293 0.197
Tm4 0.951 0.707 0.803
La1 0.750 0.595 0.405
La2 0.250 0.405 0.595

This record from the Alexandria database describes a geometry-optimized LaPmSmTm2 structure. The functional is GGA-PBE.

Computed properties:
Formation energy ... 341 meV/atom
V ... 35.3 Å³ per atom
Crystal system ... orthorhombic
ρ ... 7.3 g/cm3

a b c (Å): 7.224 8.453 7.164
angles (deg): 126.16 90.00 90.00
Positions (direct):
Tm1 0.500 0.313 0.000
Tm2 0.500 0.687 0.000
Tm3 0.000 0.687 0.000
Tm4 0.000 0.313 0.000
La1 0.750 0.267 0.534
La2 0.250 0.733 0.466
Pm1 0.250 0.000 0.001
Pm2 0.750 0.000 0.999
Sm1 0.750 0.720 0.440
Sm2 0.250 0.280 0.560

This record from the Alexandria database describes a geometry-optimized La4PmSm2Tm2 structure. The functional is GGA-PBE.

Computed properties:
Formation energy ... 27 meV/atom
V ... 34.5 Å³ per atom
Crystal system ... monoclinic
ρ ... 7.2 g/cm3

a b c (Å): 5.192 8.179 8.119
angles (deg): 107.32 90.00 108.51
Positions (direct):
La1 0.776 0.553 0.670
La2 0.446 0.891 0.671
La3 0.224 0.447 0.330
La4 0.554 0.109 0.329
Pm1 0.000 0.000 0.000
Tm1 0.668 0.337 0.999
Tm2 0.332 0.663 0.001
Sm1 0.888 0.776 0.330
Sm2 0.112 0.224 0.670

This record from the Alexandria database describes a geometry-optimized LaPm2SmTm2 structure. The functional is GGA-PBE.

Computed properties:
Formation energy ... 67 meV/atom
V ... 33.3 Å³ per atom
Crystal system ... orthorhombic
ρ ... 7.6 g/cm3

a b c (Å): 5.712 9.921 7.046
angles (deg): 90.00 90.00 90.00
Positions (direct):
Tm1 0.000 0.667 0.250
Tm2 0.500 0.167 0.250
Tm3 0.500 0.833 0.750
Tm4 0.000 0.333 0.750
Pm1 0.500 0.167 0.748
Pm2 0.000 0.667 0.752
Pm3 0.500 0.833 0.252
Pm4 0.000 0.333 0.248
La1 0.500 0.500 0.500
La2 0.000 0.000 0.000
Sm1 0.000 0.000 0.500
Sm2 0.500 0.500 0.000

This record from the Alexandria database describes a geometry-optimized La2PmSmTm4 structure. The functional is GGA-PBE.

Computed properties:
Formation energy ... 22 meV/atom
V ... 32.5 Å³ per atom
Crystal system ... monoclinic
ρ ... 8.0 g/cm3

a b c (Å): 3.602 6.231 11.769
angles (deg): 79.81 90.00 90.00
Positions (direct):
La1 0.000 0.000 0.000
La2 0.500 0.000 0.500
Tm1 0.000 0.251 0.249
Tm2 0.500 0.749 0.250
Tm3 0.000 0.749 0.751
Tm4 0.500 0.251 0.750
Sm1 0.500 0.500 0.000
Pm1 0.000 0.500 0.500

This record from the Alexandria database describes a geometry-optimized LaPm2Sm6Tm structure. The functional is GGA-PBE.

Computed properties:
Formation energy ... 114 meV/atom
V ... 34.3 Å³ per atom
Crystal system ... monoclinic
ρ ... 7.3 g/cm3

a b c (Å): 9.763 8.943 8.943
angles (deg): 117.80 93.75 93.75
Positions (direct):
Sm1 0.314 0.985 0.434
Sm2 0.444 0.252 0.877
Sm3 0.056 0.123 0.748
Sm4 0.944 0.877 0.252
Sm5 0.618 0.493 0.706
Sm6 0.686 0.015 0.566
Sm7 0.556 0.748 0.123
Sm8 0.118 0.706 0.493
Sm9 0.186 0.566 0.015
Sm10 0.882 0.294 0.507
Sm11 0.814 0.434 0.985
Sm12 0.382 0.507 0.294
Tm1 0.750 0.591 0.409
Tm2 0.250 0.409 0.591
Pm1 0.546 0.199 0.302
Pm2 0.454 0.801 0.698
Pm3 0.954 0.698 0.801
Pm4 0.046 0.302 0.199
La1 0.750 0.022 0.978
La2 0.250 0.978 0.022

This record from the Alexandria database describes a geometry-optimized LaPm2SmTm5 structure. The functional is GGA-PBE.

Computed properties:
Formation energy ... 251 meV/atom
V ... 32.5 Å³ per atom
Crystal system ... tetragonal
ρ ... 8.1 g/cm3

a b c (Å): 8.709 8.709 9.869
angles (deg): 116.18 116.18 90.00
Positions (direct):
La1 0.750 0.750 0.500
La2 0.250 0.250 0.500
Pm1 0.117 0.383 0.000
Pm2 0.883 0.617 0.000
Pm3 0.617 0.117 0.000
Pm4 0.383 0.883 0.000
Sm1 0.250 0.750 0.500
Sm2 0.750 0.250 0.500
Tm1 0.844 0.927 0.271
Tm2 0.500 0.500 0.000
Tm3 0.656 0.156 0.729
Tm4 0.344 0.844 0.271
Tm5 0.573 0.656 0.729
Tm6 0.156 0.073 0.729
Tm7 0.000 0.000 0.000
Tm8 0.073 0.573 0.729
Tm9 0.927 0.427 0.271
Tm10 0.427 0.344 0.271

This record from the Alexandria database describes a geometry-optimized La4Pm2SmTm2 structure. The functional is GGA-PBE.

Computed properties:
Formation energy ... 28 meV/atom
V ... 34.6 Å³ per atom
Crystal system ... monoclinic
ρ ... 7.1 g/cm3

a b c (Å): 5.199 8.192 8.118
angles (deg): 107.43 90.00 108.50
Positions (direct):
Sm1 0.000 0.000 0.000
Tm1 0.332 0.664 0.001
Tm2 0.668 0.336 0.999
La1 0.446 0.891 0.671
La2 0.554 0.109 0.329
La3 0.776 0.553 0.670
La4 0.224 0.447 0.330
Pm1 0.112 0.224 0.670
Pm2 0.888 0.776 0.330

This record from the Alexandria database describes a geometry-optimized LaPmSm2Tm2 structure. The functional is GGA-PBE.

Computed properties:
Formation energy ... 68 meV/atom
V ... 33.2 Å³ per atom
Crystal system ... orthorhombic
ρ ... 7.7 g/cm3

a b c (Å): 5.714 9.907 7.031
angles (deg): 90.00 90.00 90.00
Positions (direct):
Sm1 0.500 0.833 0.252
Sm2 0.000 0.667 0.752
Sm3 0.000 0.333 0.248
Sm4 0.500 0.167 0.748
La1 0.000 0.000 0.000
La2 0.500 0.500 0.500
Tm1 0.000 0.666 0.250
Tm2 0.000 0.334 0.750
Tm3 0.500 0.834 0.750
Tm4 0.500 0.166 0.250
Pm1 0.000 0.000 0.500
Pm2 0.500 0.500 0.000

This record from the Alexandria database describes a geometry-optimized La2Pm3SmTm6 structure. The functional is GGA-PBE.

Computed properties:
Formation energy ... 18 meV/atom
V ... 32.3 Å³ per atom
Crystal system ... monoclinic
ρ ... 8.0 g/cm3

a b c (Å): 6.227 6.227 11.737
angles (deg): 95.07 95.07 119.98
Positions (direct):
Tm1 0.752 0.752 0.252
Tm2 0.248 0.248 0.748
Tm3 0.916 0.583 0.748
Tm4 0.583 0.916 0.748
Tm5 0.084 0.417 0.252
Tm6 0.417 0.084 0.252
Pm1 0.500 0.500 0.500
Pm2 0.833 0.167 0.500
Pm3 0.167 0.833 0.500
La1 0.334 0.666 0.000
La2 0.666 0.334 0.000
Sm1 0.000 0.000 0.000

This record from the Alexandria database describes a geometry-optimized LaPmSm2Tm structure. The functional is GGA-PBE.

Computed properties:
Formation energy ... 284 meV/atom
V ... 35.9 Å³ per atom
Crystal system ... orthorhombic
ρ ... 7.0 g/cm3

a b c (Å): 5.668 8.713 7.267
angles (deg): 90.04 90.00 90.00
Positions (direct):
Tm1 0.000 0.500 0.750
Tm2 0.000 0.500 0.250
Pm1 0.500 0.000 0.750
Pm2 0.500 0.000 0.250
Sm1 0.500 0.676 0.000
Sm2 0.500 0.324 0.500
Sm3 0.500 0.676 0.500
Sm4 0.500 0.324 0.000
La1 0.000 0.000 0.000
La2 0.000 0.000 0.500

This record from the Alexandria database describes a geometry-optimized LaPm3Sm6Tm2 structure. The functional is GGA-PBE.

Computed properties:
Formation energy ... 20 meV/atom
V ... 33.6 Å³ per atom
Crystal system ... monoclinic
ρ ... 7.5 g/cm3

a b c (Å): 6.272 6.272 12.031
angles (deg): 94.99 94.99 119.98
Positions (direct):
Tm1 0.667 0.333 0.000
Tm2 0.333 0.667 0.000
Pm1 0.833 0.167 0.500
Pm2 0.167 0.833 0.500
Pm3 0.500 0.500 0.500
Sm1 0.582 0.916 0.751
Sm2 0.418 0.084 0.249
Sm3 0.251 0.251 0.751
Sm4 0.749 0.749 0.249
Sm5 0.084 0.418 0.249
Sm6 0.916 0.582 0.751
La1 0.000 0.000 0.000

This record from the Alexandria database describes a geometry-optimized La2PmSm5Tm structure. The functional is GGA-PBE.

Computed properties:
Formation energy ... 254 meV/atom
V ... 34.4 Å³ per atom
Crystal system ... tetragonal
ρ ... 7.2 g/cm3

a b c (Å): 8.717 8.717 10.217
angles (deg): 115.25 115.25 90.00
Positions (direct):
Tm1 0.250 0.750 0.500
Tm2 0.750 0.250 0.500
Sm1 0.924 0.424 0.285
Sm2 0.139 0.076 0.715
Sm3 0.861 0.924 0.285
Sm4 0.500 0.500 0.000
Sm5 0.000 0.000 0.000
Sm6 0.576 0.639 0.715
Sm7 0.639 0.139 0.715
Sm8 0.361 0.861 0.285
Sm9 0.076 0.576 0.715
Sm10 0.424 0.361 0.285
Pm1 0.750 0.750 0.500
Pm2 0.250 0.250 0.500
La1 0.881 0.619 0.000
La2 0.619 0.119 0.000
La3 0.119 0.381 0.000
La4 0.381 0.881 0.000

This record from the Alexandria database describes a geometry-optimized LaPm4Sm2Tm structure. The functional is GGA-PBE.

Computed properties:
Formation energy ... 375 meV/atom
V ... 34.6 Å³ per atom
Crystal system ... orthorhombic
ρ ... 7.1 g/cm3

a b c (Å): 9.620 9.620 11.912
angles (deg): 128.25 128.25 88.57
Positions (direct):
Pm1 0.256 0.746 0.501
Pm2 0.751 0.751 0.504
Pm3 0.251 0.251 0.004
Pm4 0.246 0.756 0.001
Pm5 0.744 0.254 0.499
Pm6 0.754 0.244 0.999
Pm7 0.749 0.749 0.996
Pm8 0.249 0.249 0.496
La1 0.000 0.500 0.500
La2 0.000 0.500 0.000
Tm1 0.000 0.000 0.000
Tm2 0.500 0.500 0.500
Sm1 0.000 0.000 0.500
Sm2 0.500 0.000 0.000
Sm3 0.500 0.000 0.500
Sm4 0.500 0.500 0.000

This record from the Alexandria database describes a geometry-optimized La2PmSm2Tm2 structure. The functional is GGA-PBE.

Computed properties:
Formation energy ... 29 meV/atom
V ... 33.8 Å³ per atom
Crystal system ... monoclinic
ρ ... 7.5 g/cm3

a b c (Å): 5.130 6.285 8.117
angles (deg): 97.49 90.00 114.08
Positions (direct):
Tm1 0.716 0.432 0.138
Tm2 0.284 0.568 0.862
La1 0.144 0.287 0.429
La2 0.856 0.713 0.571
Pm1 0.000 0.000 0.000
Sm1 0.429 0.858 0.280
Sm2 0.571 0.142 0.720

This record from the Alexandria database describes a geometry-optimized LaPmSm2Tm4 structure. The functional is GGA-PBE.

Computed properties:
Formation energy ... 19 meV/atom
V ... 32.2 Å³ per atom
Crystal system ... monoclinic
ρ ... 8.1 g/cm3

a b c (Å): 7.159 12.301 12.295
angles (deg): 146.16 106.88 90.01
Positions (direct):
Tm1 0.249 0.751 0.499
Tm2 0.749 0.251 0.999
Tm3 0.751 0.749 0.002
Tm4 0.251 0.249 0.502
Tm5 0.749 0.751 0.498
Tm6 0.251 0.749 0.001
Tm7 0.751 0.249 0.501
Tm8 0.249 0.251 0.998
La1 0.500 0.500 0.500
La2 0.000 0.000 0.000
Pm1 0.000 0.500 0.000
Pm2 0.000 0.500 0.500
Sm1 0.500 0.000 0.000
Sm2 0.500 0.000 0.500
Sm3 0.000 0.000 0.500
Sm4 0.500 0.500 0.000

This record from the Alexandria database describes a geometry-optimized La2Pm2SmTm2 structure. The functional is GGA-PBE.

Computed properties:
Formation energy ... 28 meV/atom
V ... 33.9 Å³ per atom
Crystal system ... monoclinic
ρ ... 7.4 g/cm3

a b c (Å): 5.137 6.292 8.121
angles (deg): 97.51 90.00 114.09
Positions (direct):
Sm1 0.000 0.000 0.000
La1 0.856 0.712 0.571
La2 0.144 0.288 0.429
Tm1 0.716 0.432 0.138
Tm2 0.284 0.568 0.862
Pm1 0.571 0.142 0.721
Pm2 0.429 0.858 0.279

This record from the Alexandria database describes a geometry-optimized La2Pm5SmTm structure. The functional is GGA-PBE.

Computed properties:
Formation energy ... 251 meV/atom
V ... 34.7 Å³ per atom
Crystal system ... tetragonal
ρ ... 7.0 g/cm3

a b c (Å): 8.699 8.699 10.290
angles (deg): 115.00 115.00 90.00
Positions (direct):
Tm1 0.250 0.750 0.500
Tm2 0.750 0.250 0.500
Pm1 0.000 0.000 0.000
Pm2 0.636 0.136 0.713
Pm3 0.136 0.076 0.713
Pm4 0.864 0.924 0.287
Pm5 0.576 0.636 0.713
Pm6 0.364 0.864 0.287
Pm7 0.076 0.576 0.713
Pm8 0.924 0.424 0.287
Pm9 0.500 0.500 0.000
Pm10 0.424 0.364 0.287
Sm1 0.250 0.250 0.500
Sm2 0.750 0.750 0.500
La1 0.880 0.620 0.000
La2 0.120 0.380 0.000
La3 0.380 0.880 0.000
La4 0.620 0.120 0.000